No. 1
Compound: CdP2ClF
Source: Alexandria
Functional: PBE
Structure: optimized geometry

The structure in POSCAR format:
```
CdP2ClF
1.0
-0.025 -3.392 -3.807
2.925 -3.128 2.768
-4.140 -2.151 1.945
P F Cl Cd
2 1 1 1
direct
0.000 0.500 0.000 P
0.500 0.000 0.000 P
0.500 0.500 0.500 F
0.000 0.000 0.500 Cl
0.000 0.000 0.000 Cd
```

Calculated values
E above lowest polymorph = 460 meV per atom
Raw formation energy = 0.7547 eV per atom

***

No. 2
Compound: CdPClF6
Source: Alexandria
Functional: PBE
Structure: optimized geometry

The structure in POSCAR format:
```
CdPClF6
1.0
5.761 1.825 -0.014
3.915 6.744 -0.436
-0.011 -0.567 4.536
Cd P Cl F
1 1 1 6
direct
0.509 0.784 0.489 Cd
0.325 0.338 0.504 P
0.304 0.833 0.991 Cl
0.060 0.431 0.251 F
0.211 0.221 0.643 F
0.561 0.252 0.757 F
0.004 0.622 0.720 F
0.414 0.460 0.363 F
0.613 0.059 0.283 F
```

Calculated values
Raw formation energy = -2.2299 eV per atom

***

No. 3
Compound: PaCdCl2F6
Source: Alexandria
Functional: PBE
Structure: optimized geometry

The structure in POSCAR format:
```
PaCdCl2F6
1.0
-4.467 0.574 4.401
-4.366 -1.711 -4.204
-3.843 -4.835 1.238
Pa Cd Cl F
1 1 2 6
direct
0.500 0.500 0.000 Pa
0.000 0.000 0.000 Cd
0.250 0.750 0.500 Cl
0.750 0.250 0.500 Cl
0.260 0.740 0.000 F
0.739 0.739 0.000 F
0.261 0.261 0.479 F
0.740 0.260 0.000 F
0.261 0.261 0.000 F
0.739 0.739 0.521 F
```

Calculated values
Raw formation energy = -2.5024 eV per atom